Entry 1:
The following is a DFT calculation (GGA-PBE) of an optimized crystal structure of TiI2OF.

Properties
For the total DFT energy (no corrections), the calculation gives -3.072 eV per atom. Its uncorrected formation energy is 2.462 eV/f.u.

Cell and atoms, written as CIF:
```
data_TiI2OF
_cell_length_a 5.170
_cell_length_b 5.170
_cell_length_c 3.728
_cell_angle_alpha 90.00
_cell_angle_beta 90.00
_cell_angle_gamma 90.00
_space_group_name_H-M_alt 'P 1'
_space_group_IT_number 1
_space_group_name_Hall 'P 1'
loop_
_atom_site_label
_atom_site_fract_x
_atom_site_fract_y
_atom_site_fract_z
O1 0.000 0.000 0.500
I1 0.000 0.500 0.000
I2 0.500 0.000 0.000
F1 0.000 0.000 0.000
Ti1 0.500 0.500 0.500
```



Entry 2:
The following is a DFT calculation (GGA-PBE) of an optimized crystal structure of Sr6TeAs2P.

Properties
For the total DFT energy (no corrections), the calculation gives -3.884 eV per atom. Its uncorrected formation energy is -10.901 eV/f.u.

Cell and atoms, written as CIF:
```
data_Sr6TeAs2P
_cell_length_a 7.629
_cell_length_b 8.362
_cell_length_c 11.490
_cell_angle_alpha 90.00
_cell_angle_beta 90.31
_cell_angle_gamma 90.00
_space_group_name_H-M_alt 'P 1'
_space_group_IT_number 1
_space_group_name_Hall 'P 1'
loop_
_atom_site_label
_atom_site_fract_x
_atom_site_fract_y
_atom_site_fract_z
Sr1 0.167 0.199 0.085
Sr2 0.164 0.426 0.765
Sr3 0.194 0.176 0.414
Sr4 0.667 0.301 0.585
Sr5 0.336 0.926 0.735
Sr6 0.833 0.801 0.915
Sr7 0.306 0.676 0.086
Sr8 0.664 0.074 0.265
Sr9 0.806 0.824 0.586
Sr10 0.836 0.574 0.235
Sr11 0.694 0.324 0.914
Sr12 0.333 0.699 0.415
As1 0.545 0.594 0.747
As2 0.045 0.906 0.247
As3 0.955 0.094 0.753
As4 0.455 0.406 0.253
P1 0.000 0.500 0.000
P2 0.500 0.000 0.500
Te1 0.500 0.000 0.000
Te2 0.000 0.500 0.500
```



Entry 3:
The following is a DFT calculation (GGA-PBE) of an optimized crystal structure of Sm6TlPt2.

Properties
For the total DFT energy (no corrections), the calculation gives -5.400 eV per atom. The calculation puts the formation energy at -649 meV/atom.

Cell and atoms, written as CIF:
```
data_Sm6TlPt2
_cell_length_a 8.779
_cell_length_b 8.779
_cell_length_c 8.779
_cell_angle_alpha 104.43
_cell_angle_beta 110.12
_cell_angle_gamma 114.00
_space_group_name_H-M_alt 'P 1'
_space_group_IT_number 1
_space_group_name_Hall 'P 1'
loop_
_atom_site_label
_atom_site_fract_x
_atom_site_fract_y
_atom_site_fract_z
Tl1 0.000 0.000 0.000
Tl2 0.000 0.500 0.500
Sm1 0.890 0.708 0.182
Sm2 0.201 0.234 0.435
Sm3 0.201 0.766 0.966
Sm4 0.695 0.366 0.671
Sm5 0.525 0.708 0.818
Sm6 0.799 0.234 0.034
Sm7 0.799 0.766 0.565
Sm8 0.110 0.292 0.818
Sm9 0.475 0.292 0.182
Sm10 0.695 0.024 0.329
Sm11 0.305 0.634 0.329
Sm12 0.305 0.976 0.671
Pt1 0.500 0.368 0.868
Pt2 0.500 0.632 0.132
Pt3 0.656 0.000 0.656
Pt4 0.344 0.000 0.344
```



Entry 4:
The following is a DFT calculation (GGA-PBE) of an optimized crystal structure of Th2Ga4FeGe2.

Properties
For the total DFT energy (no corrections), the calculation gives -5.408 eV per atom. The calculation puts the formation energy at -448 meV/atom.

Cell and atoms, written as CIF:
```
data_Th2Ga4FeGe2
_cell_length_a 6.267
_cell_length_b 6.267
_cell_length_c 6.267
_cell_angle_alpha 89.32
_cell_angle_beta 120.40
_cell_angle_gamma 120.40
_space_group_name_H-M_alt 'P 1'
_space_group_IT_number 1
_space_group_name_Hall 'P 1'
loop_
_atom_site_label
_atom_site_fract_x
_atom_site_fract_y
_atom_site_fract_z
Ge1 0.000 0.727 0.727
Ge2 0.000 0.273 0.273
Fe1 0.000 0.000 0.000
Ga1 0.558 0.279 0.279
Ga2 0.000 0.279 0.721
Ga3 0.442 0.721 0.721
Ga4 0.000 0.721 0.279
Th1 0.500 0.250 0.750
Th2 0.500 0.750 0.250
```



Entry 5:
The following is a DFT calculation (GGA-PBE) of an optimized crystal structure of Pm3Nd4Ag4.

Properties
For the total DFT energy (no corrections), the calculation gives -4.144 eV per atom. The calculation puts the formation energy at -78 meV/atom.

Cell and atoms, written as CIF:
```
data_Pm3Nd4Ag4
_cell_length_a 5.201
_cell_length_b 7.557
_cell_length_c 9.435
_cell_angle_alpha 113.61
_cell_angle_beta 106.00
_cell_angle_gamma 90.00
_space_group_name_H-M_alt 'P 1'
_space_group_IT_number 1
_space_group_name_Hall 'P 1'
loop_
_atom_site_label
_atom_site_fract_x
_atom_site_fract_y
_atom_site_fract_z
Nd1 0.325 0.551 0.650
Nd2 0.675 0.449 0.350
Nd3 0.675 0.901 0.350
Nd4 0.325 0.099 0.650
Ag1 0.811 0.311 0.622
Ag2 0.189 0.689 0.378
Ag3 0.500 0.186 0.000
Ag4 0.500 0.814 0.000
Pm1 0.899 0.899 0.798
Pm2 0.000 0.500 0.000
Pm3 0.101 0.101 0.202
```



Entry 6:
The following is a DFT calculation (GGA-PBE) of an optimized crystal structure of LiLaP2.

Properties
For the total DFT energy (no corrections), the calculation gives -4.785 eV per atom. The calculation puts the formation energy at -369 meV/atom.

Cell and atoms, written as CIF:
```
data_LiLaP2
_cell_length_a 4.772
_cell_length_b 4.772
_cell_length_c 4.772
_cell_angle_alpha 60.00
_cell_angle_beta 60.00
_cell_angle_gamma 60.00
_space_group_name_H-M_alt 'P 1'
_space_group_IT_number 1
_space_group_name_Hall 'P 1'
loop_
_atom_site_label
_atom_site_fract_x
_atom_site_fract_y
_atom_site_fract_z
La1 0.500 0.500 0.500
P1 0.250 0.250 0.250
P2 0.000 0.000 0.000
Li1 0.750 0.750 0.750
```



Entry 7:
The following is a DFT calculation (GGA-PBE) of an optimized crystal structure of Pm6YEr3Th2.

Properties
For the total DFT energy (no corrections), the calculation gives -5.252 eV per atom. The calculation puts the formation energy at 40 meV/atom.

Cell and atoms, written as CIF:
```
data_Pm6YEr3Th2
_cell_length_a 6.226
_cell_length_b 6.226
_cell_length_c 11.937
_cell_angle_alpha 95.00
_cell_angle_beta 95.00
_cell_angle_gamma 119.95
_space_group_name_H-M_alt 'P 1'
_space_group_IT_number 1
_space_group_name_Hall 'P 1'
loop_
_atom_site_label
_atom_site_fract_x
_atom_site_fract_y
_atom_site_fract_z
Th1 0.666 0.334 0.000
Th2 0.334 0.666 0.000
Er1 0.833 0.167 0.500
Er2 0.167 0.833 0.500
Er3 0.500 0.500 0.500
Pm1 0.580 0.917 0.751
Pm2 0.420 0.083 0.249
Pm3 0.917 0.580 0.751
Pm4 0.254 0.254 0.750
Pm5 0.746 0.746 0.250
Pm6 0.083 0.420 0.249
Y1 0.000 0.000 0.000
```



Entry 8:
The following is a DFT calculation (GGA-PBE) of an optimized crystal structure of Sr2GaTe2.

Properties
For the total DFT energy (no corrections), the calculation gives -3.644 eV per atom. Its uncorrected formation energy is -5.547 eV/f.u.

Cell and atoms, written as CIF:
```
data_Sr2GaTe2
_cell_length_a 8.843
_cell_length_b 8.843
_cell_length_c 4.359
_cell_angle_alpha 90.00
_cell_angle_beta 90.00
_cell_angle_gamma 90.00
_space_group_name_H-M_alt 'P 1'
_space_group_IT_number 1
_space_group_name_Hall 'P 1'
loop_
_atom_site_label
_atom_site_fract_x
_atom_site_fract_y
_atom_site_fract_z
Sr1 0.846 0.346 0.500
Sr2 0.654 0.846 0.500
Sr3 0.346 0.154 0.500
Sr4 0.154 0.654 0.500
Ga1 0.000 0.000 0.000
Ga2 0.500 0.500 0.000
Te1 0.347 0.847 0.000
Te2 0.847 0.653 0.000
Te3 0.153 0.347 0.000
Te4 0.653 0.153 0.000
```



total DFT energy (no corrections) of number 6 (LiLaP2)?
-4.785 eV per atom



Which value of total DFT energy (no corrections) does entry 1 give?
-3.072 eV per atom



Among the records above, which one has the lowest total DFT energy (no corrections)?
Th2Ga4FeGe2